# 1
A plane-wave DFT calculation with GGA-PBE was carried out for TaSbMo2 after structural relaxation.

The structure belongs to space group P4mm (No. 99); the cell edges are 3.167, 3.167 and 7.270 Å and the angles 90.00°, 90.00° and 90.00°. The inequivalent atoms are Ta at (0.000, 0.000, 0.000), Sb at (0.500, 0.500, 0.705), Mo at (0.000, 0.000, 0.439) and Mo at (0.500, 0.500, 0.237).

The value obtained for the raw total energy is -36.705 eV per cell.

# 2
A plane-wave DFT calculation with GGA-PBE was carried out for LiMnCuS2 after structural relaxation.

The structure belongs to space group P2/c (No. 13); the cell edges are 5.681, 5.286 and 6.280 Å and the angles 90.00°, 90.14° and 90.00°. The inequivalent atoms are Li at (0.000, 0.001, 0.250), Mn at (0.500, 0.500, 0.250), Cu at (0.500, 0.000, 0.000) and S at (0.232, 0.286, 0.000).

The value obtained for the raw total energy is -53.122 eV per cell. For the energy above the most stable polymorph in this dataset, the calculation gives 0.000 kcal/mol of atoms.

# 3
A plane-wave DFT calculation with GGA-PBE was carried out for Nd2SmDy6Y after structural relaxation.

The structure belongs to space group C2/c (No. 15); the cell edges are 9.042, 15.135 and 9.746 Å and the angles 90.00°, 98.94° and 90.00°. The inequivalent atoms are Nd at (0.246, 0.051, 0.042), Sm at (0.000, 0.018, 0.750), Dy at (0.067, 0.190, 0.443), Dy at (0.101, 0.394, 0.620), Dy at (0.202, 0.224, 0.814) and Y at (0.000, 0.407, 0.250).

Its formation energy from the elements is 0.11 eV/atom. The value obtained for the raw total energy is -188.781 eV per cell.

Question: Which value of raw total energy does entry 2 give?
Answer: -53.122 eV per cell

What did the second record say?
A plane-wave DFT calculation with GGA-PBE was carried out for LiMnCuS2 after structural relaxation.

The structure belongs to space group P2/c (No. 13); the cell edges are 5.681, 5.286 and 6.280 Å and the angles 90.00°, 90.14° and 90.00°. The inequivalent atoms are Li at (0.000, 0.001, 0.250), Mn at (0.500, 0.500, 0.250), Cu at (0.500, 0.000, 0.000) and S at (0.232, 0.286, 0.000).

The value obtained for the raw total energy is -53.122 eV per cell. For the energy above the most stable polymorph in this dataset, the calculation gives 0.000 kcal/mol of atoms.

Question: Number 2 is which compound?
Answer: LiMnCuS2

Question: Which of these has the highest raw total energy?
Answer: TaSbMo2